#A
This record from the Alexandria database describes crystalline YCoOs2 at its relaxed geometry. The functional is PBE-GGA.

Its calculated volume is 64.3 Å³/cell. The calculation puts the spin magnetization at 1.78 μB per cell.

The space group is Pmmm (No. 47) and the conventional cell measures 3.044, 4.539 and 4.657 Å, with angles of 90.00, 90.00 and 90.00 degrees. The distinct sites, in fractional coordinates, are Y at (0.000, 0.000, 0.000), Co at (0.500, 0.500, 0.000), Os at (0.000, 0.500, 0.500) and Os at (0.500, 0.000, 0.500).



#B
This record from the Alexandria database describes crystalline YCoOs2 at its relaxed geometry. The functional is PBE-GGA.

Its calculated volume is 192.7 Å³/cell. The calculation puts the spin magnetization at 6.02 μB per cell.

The space group is R3m (No. 160, hexagonal axes) and the conventional cell measures 2.8264, 2.8264 and 27.8603 Å, with angles of 90.00, 90.00 and 120.00 degrees. The distinct sites, in fractional coordinates, are Y at (0.0000, 0.0000, 0.0000), Co at (0.0000, 0.0000, 0.2443), Os at (0.0000, 0.0000, 0.5052) and Os at (0.0000, 0.0000, 0.7630).



Most stable structure, least stable structure: #A, #B.